{
  "formula": "Ba2YZnO5",
  "functional": "PBE",
  "state": "relaxed",
  "crystal_system": "orthorhombic",
  "e_form_raw_kj_per_mol_atoms": -226.4,
  "final_energy_ha_per_atom": -0.23477,
  "cell": [[1.790, -7.665, 0.000], [1.790, 7.665, 0.000], [0.000, 0.000, 11.153]],
  "species": ["Ba", "Ba", "Ba", "Ba", "Y", "Y", "Zn", "Zn", "O", "O", "O", "O", "O", "O", "O", "O", "O", "O"],
  "fractional_positions": [[0.110, 0.890, 0.500], [0.131, 0.869, 0.140], [0.869, 0.131, 0.640], [0.890, 0.110, 0.000], [0.201, 0.799, 0.840], [0.799, 0.201, 0.340], [0.455, 0.545, 0.264], [0.545, 0.455, 0.764], [0.043, 0.957, 0.841], [0.294, 0.706, 0.471], [0.323, 0.677, 0.207], [0.343, 0.657, 0.822], [0.497, 0.503, 0.604], [0.503, 0.497, 0.104], [0.657, 0.343, 0.322], [0.677, 0.323, 0.707], [0.706, 0.294, 0.971], [0.957, 0.043, 0.341]]
}

---

{
  "formula": "BaY2ZnO5",
  "functional": "PBE",
  "state": "relaxed",
  "crystal_system": "orthorhombic",
  "e_form_raw_kj_per_mol_atoms": -274.6,
  "final_energy_ha_per_atom": -0.27167,
  "cell": [[12.463, 0.000, 0.000], [0.000, 5.771, 0.000], [0.000, 0.000, 7.171]],
  "species": ["Ba", "Ba", "Ba", "Ba", "Y", "Y", "Y", "Y", "Y", "Y", "Y", "Y", "Zn", "Zn", "Zn", "Zn", "O", "O", "O", "O", "O", "O", "O", "O", "O", "O", "O", "O", "O", "O", "O", "O", "O", "O", "O", "O"],
  "fractional_positions": [[0.101, 0.250, 0.077], [0.399, 0.750, 0.577], [0.601, 0.250, 0.423], [0.899, 0.750, 0.923], [0.074, 0.750, 0.399], [0.208, 0.250, 0.618], [0.292, 0.750, 0.118], [0.426, 0.250, 0.899], [0.574, 0.750, 0.101], [0.708, 0.250, 0.882], [0.792, 0.750, 0.382], [0.926, 0.250, 0.601], [0.150, 0.750, 0.808], [0.350, 0.250, 0.308], [0.650, 0.750, 0.692], [0.850, 0.250, 0.192], [0.066, 0.502, 0.663], [0.066, 0.998, 0.663], [0.100, 0.750, 0.074], [0.225, 0.001, 0.357], [0.225, 0.499, 0.357], [0.275, 0.501, 0.857], [0.275, 0.999, 0.857], [0.400, 0.250, 0.574], [0.434, 0.002, 0.163], [0.434, 0.498, 0.163], [0.566, 0.502, 0.837], [0.566, 0.998, 0.837], [0.600, 0.750, 0.426], [0.725, 0.001, 0.143], [0.725, 0.499, 0.143], [0.775, 0.501, 0.643], [0.775, 0.999, 0.643], [0.900, 0.250, 0.926], [0.934, 0.002, 0.337], [0.934, 0.498, 0.337]]
}

---

{
  "formula": "Ba3YZr2O9",
  "functional": "PBE",
  "state": "relaxed",
  "crystal_system": "trigonal",
  "e_form_raw_kj_per_mol_atoms": -294.2,
  "final_energy_ha_per_atom": -0.29324,
  "cell": [[6.117, 0.000, 0.000], [-3.058, 5.297, 0.000], [0.000, 0.000, 7.503]],
  "species": ["Ba", "Ba", "Ba", "Y", "Zr", "Zr", "O", "O", "O", "O", "O", "O", "O", "O", "O"],
  "fractional_positions": [[0.000, 0.000, 0.000], [0.333, 0.667, 0.667], [0.667, 0.333, 0.333], [0.000, 0.000, 0.500], [0.333, 0.667, 0.165], [0.667, 0.333, 0.835], [0.000, 0.500, 0.000], [0.172, 0.344, 0.325], [0.172, 0.828, 0.325], [0.344, 0.172, 0.675], [0.500, 0.000, 0.000], [0.500, 0.500, 0.000], [0.656, 0.828, 0.325], [0.828, 0.172, 0.675], [0.828, 0.656, 0.675]]
}

---

{
  "formula": "BaYbO3",
  "functional": "PBE",
  "state": "relaxed",
  "crystal_system": "cubic",
  "e_form_raw_kj_per_mol_atoms": -197.8,
  "final_energy_ha_per_atom": -0.21001,
  "cell": [[4.380, 0.000, 0.000], [0.000, 4.380, 0.000], [0.000, 0.000, 4.380]],
  "species": ["Ba", "Yb", "O", "O", "O"],
  "fractional_positions": [[0.000, 0.000, 0.000], [0.500, 0.500, 0.500], [0.000, 0.500, 0.500], [0.500, 0.000, 0.500], [0.500, 0.500, 0.000]]
}

---

{
  "formula": "Ba2ZnO",
  "functional": "PBE",
  "state": "relaxed",
  "crystal_system": "trigonal",
  "e_form_raw_kj_per_mol_atoms": -107.2,
  "final_energy_ha_per_atom": -0.13342,
  "cell": [[2.065, 1.192, 8.196], [-2.065, 1.192, 8.196], [0.000, -2.384, 8.196]],
  "species": ["Ba", "Ba", "Zn", "O"],
  "fractional_positions": [[0.000, 0.000, 0.000], [0.206, 0.206, 0.206], [0.427, 0.427, 0.427], [0.589, 0.589, 0.589]]
}

---

{
  "formula": "BaZn2O3",
  "functional": "PBE",
  "state": "relaxed",
  "crystal_system": "orthorhombic",
  "e_form_raw_kj_per_mol_atoms": -157.0,
  "final_energy_ha_per_atom": -0.17829,
  "cell": [[3.830, -5.360, 0.000], [3.830, 5.360, 0.000], [0.000, 0.000, 4.954]],
  "species": ["Ba", "Ba", "Zn", "Zn", "Zn", "Zn", "O", "O", "O", "O", "O", "O"],
  "fractional_positions": [[0.221, 0.779, 0.750], [0.779, 0.221, 0.250], [0.319, 0.319, 0.000], [0.319, 0.319, 0.500], [0.681, 0.681, 0.000], [0.681, 0.681, 0.500], [0.102, 0.346, 0.750], [0.346, 0.102, 0.250], [0.408, 0.592, 0.250], [0.592, 0.408, 0.750], [0.654, 0.898, 0.750], [0.898, 0.654, 0.250]]
}

---

{
  "formula": "BaZnO2",
  "functional": "PBE",
  "state": "relaxed",
  "crystal_system": "tetragonal",
  "e_form_raw_kj_per_mol_atoms": -184.5,
  "final_energy_ha_per_atom": -0.19076,
  "cell": [[-2.991, 2.991, 3.712], [2.991, -2.991, 3.712], [2.991, 2.991, -3.712]],
  "species": ["Ba", "Ba", "Zn", "Zn", "O", "O", "O", "O"],
  "fractional_positions": [[0.000, 0.000, 0.000], [0.750, 0.250, 0.500], [0.250, 0.750, 0.500], [0.500, 0.500, 0.000], [0.208, 0.625, 0.083], [0.375, 0.458, 0.583], [0.542, 0.125, 0.917], [0.875, 0.792, 0.417]]
}

---

{
  "formula": "Ba2ZnO3",
  "functional": "PBE",
  "state": "relaxed",
  "crystal_system": "monoclinic",
  "e_form_raw_kj_per_mol_atoms": -207.6,
  "final_energy_ha_per_atom": -0.20154,
  "cell": [[5.488, -3.338, 0.000], [5.488, 3.338, 0.000], [-2.807, 0.000, 6.354]],
  "species": ["Ba", "Ba", "Ba", "Ba", "Zn", "Zn", "O", "O", "O", "O", "O", "O"],
  "fractional_positions": [[0.001, 0.325, 0.192], [0.325, 0.001, 0.692], [0.675, 0.999, 0.308], [0.999, 0.675, 0.808], [0.398, 0.602, 0.250], [0.602, 0.398, 0.750], [0.104, 0.896, 0.250], [0.320, 0.356, 0.559], [0.356, 0.320, 0.059], [0.644, 0.680, 0.941], [0.680, 0.644, 0.441], [0.896, 0.104, 0.750]]
}

---

{
  "formula": "Ba2ZnO3",
  "functional": "PBE",
  "state": "relaxed",
  "crystal_system": "monoclinic",
  "e_form_raw_kj_per_mol_atoms": -210.4,
  "final_energy_ha_per_atom": -0.20262,
  "cell": [[2.979, -5.781, 0.000], [2.979, 5.781, 0.000], [-0.716, 0.000, 12.701]],
  "species": ["Ba", "Ba", "Ba", "Ba", "Ba", "Ba", "Ba", "Ba", "Zn", "Zn", "Zn", "Zn", "O", "O", "O", "O", "O", "O", "O", "O", "O", "O", "O", "O"],
  "fractional_positions": [[0.030, 0.441, 0.348], [0.135, 0.342, 0.925], [0.342, 0.135, 0.425], [0.441, 0.030, 0.848], [0.559, 0.970, 0.152], [0.658, 0.865, 0.575], [0.865, 0.658, 0.075], [0.970, 0.559, 0.652], [0.269, 0.274, 0.164], [0.274, 0.269, 0.664], [0.726, 0.731, 0.336], [0.731, 0.726, 0.836], [0.007, 0.993, 0.750], [0.127, 0.324, 0.535], [0.149, 0.492, 0.132], [0.324, 0.127, 0.035], [0.407, 0.593, 0.750], [0.492, 0.149, 0.632], [0.508, 0.851, 0.368], [0.593, 0.407, 0.250], [0.676, 0.873, 0.965], [0.851, 0.508, 0.868], [0.873, 0.676, 0.465], [0.993, 0.007, 0.250]]
}

---

{
  "formula": "Ba2ZnO6",
  "functional": "PBE",
  "state": "relaxed",
  "crystal_system": "monoclinic",
  "e_form_raw_kj_per_mol_atoms": -95.6,
  "final_energy_ha_per_atom": -0.17880,
  "cell": [[5.167, 0.000, 0.000], [0.000, 7.215, 0.000], [-4.431, 0.000, 8.747]],
  "species": ["Ba", "Ba", "Ba", "Ba", "Zn", "Zn", "O", "O", "O", "O", "O", "O", "O", "O", "O", "O", "O", "O"],
  "fractional_positions": [[0.233, 0.110, 0.258], [0.233, 0.390, 0.758], [0.767, 0.610, 0.242], [0.767, 0.890, 0.742], [0.500, 0.000, 0.000], [0.500, 0.500, 0.500], [0.152, 0.156, 0.957], [0.152, 0.344, 0.457], [0.293, 0.011, 0.774], [0.293, 0.489, 0.274], [0.380, 0.731, 0.919], [0.380, 0.769, 0.419], [0.620, 0.231, 0.581], [0.620, 0.269, 0.081], [0.707, 0.511, 0.726], [0.707, 0.989, 0.226], [0.848, 0.656, 0.543], [0.848, 0.844, 0.043]]
}

---

{
  "formula": "BaZn6O6",
  "functional": "PBE",
  "state": "relaxed",
  "crystal_system": "cubic",
  "e_form_raw_kj_per_mol_atoms": -116.8,
  "final_energy_ha_per_atom": -0.15564,
  "cell": [[5.868, 0.000, 0.000], [0.000, 5.868, 0.000], [0.000, 0.000, 5.868]],
  "species": ["Ba", "Zn", "Zn", "Zn", "Zn", "Zn", "Zn", "O", "O", "O", "O", "O", "O"],
  "fractional_positions": [[0.000, 0.000, 0.000], [0.000, 0.270, 0.500], [0.000, 0.730, 0.500], [0.270, 0.500, 0.000], [0.500, 0.000, 0.270], [0.500, 0.000, 0.730], [0.730, 0.500, 0.000], [0.000, 0.500, 0.233], [0.000, 0.500, 0.767], [0.233, 0.000, 0.500], [0.500, 0.233, 0.000], [0.500, 0.767, 0.000], [0.767, 0.000, 0.500]]
}

---

{
  "formula": "Ba2ZnO",
  "functional": "PBE",
  "state": "relaxed",
  "crystal_system": "cubic",
  "e_form_raw_kj_per_mol_atoms": -51.4,
  "final_energy_ha_per_atom": -0.11216,
  "cell": [[0.000, 3.808, 3.808], [3.808, 0.000, 3.808], [3.808, 3.808, 0.000]],
  "species": ["Ba", "Ba", "Zn", "O"],
  "fractional_positions": [[0.250, 0.250, 0.250], [0.750, 0.750, 0.750], [0.000, 0.000, 0.000], [0.500, 0.500, 0.500]]
}